[1]
Pm4Cu2Ir | PBE | optimized geometry

a = 5.002 Å, b = 5.002 Å, c = 8.662 Å
α = 73.22°, β = 73.22°, γ = 60.00°
Element x y z (fractional)
Ir1 0.000 0.000 0.000
Pm1 0.877 0.877 0.368
Pm2 0.626 0.626 0.121
Pm3 0.374 0.374 0.879
Pm4 0.123 0.123 0.632
Cu1 0.246 0.246 0.263
Cu2 0.754 0.754 0.737

***

[2]
Pm2CuIr | PBE | optimized geometry

a = 5.006 Å, b = 5.006 Å, c = 5.006 Å
α = 60.00°, β = 60.00°, γ = 60.00°
Element x y z (fractional)
Cu1 0.000 0.000 0.000
Pm1 0.750 0.750 0.750
Pm2 0.250 0.250 0.250
Ir1 0.500 0.500 0.500

***

[3]
Pm3CuIr3 | PBE | optimized geometry

a = 4.281 Å, b = 5.580 Å, c = 13.759 Å
α = 90.00°, β = 90.00°, γ = 112.56°
Element x y z (fractional)
Pm1 0.793 0.585 0.103
Pm2 0.207 0.415 0.603
Pm3 0.207 0.415 0.897
Pm4 0.507 0.014 0.250
Pm5 0.493 0.986 0.750
Pm6 0.793 0.585 0.397
Ir1 0.778 0.556 0.750
Ir2 0.918 0.836 0.912
Ir3 0.222 0.444 0.250
Ir4 0.918 0.836 0.588
Ir5 0.082 0.164 0.412
Ir6 0.082 0.164 0.088
Cu1 0.500 0.000 0.000
Cu2 0.500 0.000 0.500

***

[4]
Pm2CuIr | PBE | optimized geometry

a = 4.408 Å, b = 5.710 Å, c = 7.848 Å
α = 110.38°, β = 90.00°, γ = 90.00°
Element x y z (fractional)
Pm1 0.250 0.772 0.075
Pm2 0.750 0.228 0.925
Pm3 0.250 0.783 0.564
Pm4 0.750 0.217 0.436
Cu1 0.750 0.650 0.787
Cu2 0.250 0.350 0.213
Ir1 0.250 0.350 0.715
Ir2 0.750 0.650 0.285

***

[5]
Pm3Cu2Ir | PBE | optimized geometry

a = 3.565 Å, b = 3.565 Å, c = 10.681 Å
α = 90.00°, β = 90.00°, γ = 90.00°
Element x y z (fractional)
Pm1 0.000 0.000 0.000
Pm2 0.000 0.000 0.658
Pm3 0.000 0.000 0.342
Ir1 0.500 0.500 0.500
Cu1 0.500 0.500 0.161
Cu2 0.500 0.500 0.839

***

[6]
PmCuIr4 | PBE | optimized geometry

a = 5.288 Å, b = 5.288 Å, c = 5.288 Å
α = 60.00°, β = 60.00°, γ = 60.00°
Element x y z (fractional)
Cu1 0.000 0.000 0.000
Pm1 0.250 0.250 0.250
Ir1 0.626 0.626 0.626
Ir2 0.626 0.123 0.626
Ir3 0.626 0.626 0.123
Ir4 0.123 0.626 0.626

***

no.,energy relative to the elements (eV/atom),total energy (eV/atom)
1,-0.24,-5.39
2,-0.45,-6.06
3,-0.59,-7.01
4,-0.53,-6.14
5,-0.33,-5.54
6,-0.17,-7.55